Record 1
Y2Ho3Th2 | Alexandria | PBE | relaxed; formation enthalpy at 0 K = 0.0259 eV per atom; excess energy over the best structure of this formula in the dataset = 0 meV/atom; calculated total energy = -5.903 eV/atom; density of states at the Fermi level = 1.363 states/eV/atom
1.0
3.5716 0.0000 0.0000
-1.7844 7.7174 0.0000
-0.0095 -3.2178 8.0926
Y Ho Th
2 3 2
Direct
0.2165 0.4319 0.1414
0.7835 0.5681 0.8586
0.3613 0.7229 0.5665
0.5000 0.0000 0.0000
0.6387 0.2771 0.4335
0.0695 0.1389 0.7120
0.9305 0.8611 0.2880

=====

Record 2
Y16Ho7Th6 | Alexandria | PBE | relaxed; formation enthalpy at 0 K = 0.3176 eV per atom; calculated total energy = -5.889 eV/atom; density of states at the Fermi level = 1.891 states/eV/atom
1.0
0.0000 7.8431 7.8431
7.8431 0.0000 7.8431
7.8431 7.8431 0.0000
Y Ho Th
16 7 6
Direct
0.0242 0.6586 0.6586
0.1193 0.1193 0.1193
0.1193 0.1193 0.6420
0.1193 0.6420 0.1193
0.3414 0.3414 0.3414
0.3414 0.3414 0.9758
0.3414 0.9758 0.3414
0.3580 0.8807 0.8807
0.6420 0.1193 0.1193
0.6586 0.0242 0.6586
0.6586 0.6586 0.0242
0.6586 0.6586 0.6586
0.8807 0.3580 0.8807
0.8807 0.8807 0.3580
0.8807 0.8807 0.8807
0.9758 0.3414 0.3414
0.0000 0.0000 0.0000
0.0000 0.0000 0.5000
0.0000 0.5000 0.0000
0.0000 0.5000 0.5000
0.5000 0.0000 0.0000
0.5000 0.0000 0.5000
0.5000 0.5000 0.0000
0.3314 0.3314 0.6686
0.3314 0.6686 0.3314
0.3314 0.6686 0.6686
0.6686 0.3314 0.3314
0.6686 0.3314 0.6686
0.6686 0.6686 0.3314

=====

Record 3
Y3Ho5Th2 | Alexandria | PBE | relaxed; formation enthalpy at 0 K = 0.2222 eV per atom; calculated total energy = -5.490 eV/atom; density of states at the Fermi level = 1.542 states/eV/atom
1.0
5.3414 -8.3921 0.0000
5.3414 8.3921 0.0000
-5.3377 0.0000 7.2937
Y Ho Th
6 10 4
Direct
0.0297 0.9703 0.7500
0.2281 0.4810 0.4575
0.4810 0.2281 0.9575
0.5190 0.7719 0.0425
0.7719 0.5190 0.5425
0.9703 0.0297 0.2500
0.1208 0.3800 0.7483
0.2210 0.7790 0.7500
0.2815 0.7185 0.2500
0.3800 0.1208 0.2483
0.4725 0.5275 0.2500
0.5275 0.4725 0.7500
0.6200 0.8792 0.7517
0.7185 0.2815 0.7500
0.7790 0.2210 0.2500
0.8792 0.6200 0.2517
0.0122 0.2650 0.0252
0.2650 0.0122 0.5252
0.7350 0.9878 0.4748
0.9878 0.7350 0.9748

=====

Record 4
YHo2Th2 | Alexandria | PBE | relaxed; formation enthalpy at 0 K = 0.0320 eV per atom; excess energy over the best structure of this formula in the dataset = 0 meV/atom; calculated total energy = -6.060 eV/atom; density of states at the Fermi level = 1.321 states/eV/atom
1.0
14.5924 0.0000 0.0000
0.0000 7.1155 0.0000
-0.8811 0.0000 6.1248
Y Ho Th
4 8 8
Direct
0.1982 0.1262 0.1497
0.1982 0.3738 0.6497
0.8018 0.6262 0.3503
0.8018 0.8738 0.8503
0.1963 0.6231 0.1477
0.1963 0.8769 0.6477
0.4018 0.6245 0.5499
0.4018 0.8755 0.0499
0.5982 0.1245 0.9501
0.5982 0.3755 0.4501
0.8037 0.1231 0.3523
0.8037 0.3769 0.8523
0.0007 0.6244 0.7488
0.0007 0.8756 0.2488
0.4023 0.1286 0.5502
0.4023 0.3714 0.0502
0.5977 0.6286 0.9498
0.5977 0.8714 0.4498
0.9993 0.1244 0.7512
0.9993 0.3756 0.2512

=====

Record 5
Y5HoTh4 | Alexandria | PBE | relaxed; formation enthalpy at 0 K = 0.1026 eV per atom; calculated total energy = -6.555 eV/atom; density of states at the Fermi level = 1.810 states/eV/atom
1.0
8.5324 -1.7496 0.0000
8.5324 1.7496 0.0000
-3.9909 0.0000 10.9301
Y Ho Th
5 1 4
Direct
0.0000 0.0000 0.0000
0.2898 0.2898 0.8855
0.3073 0.3073 0.4151
0.6927 0.6927 0.5849
0.7102 0.7102 0.1145
0.0000 0.0000 0.5000
0.0974 0.0974 0.2946
0.4123 0.4123 0.2082
0.5877 0.5877 0.7918
0.9026 0.9026 0.7054

=====

Record 6
Y6HoTh3 | Alexandria | PBE | relaxed; formation enthalpy at 0 K = 0.1021 eV per atom; excess energy over the best structure of this formula in the dataset = 0 meV/atom; calculated total energy = -6.460 eV/atom; density of states at the Fermi level = 1.598 states/eV/atom
1.0
13.2144 0.0000 0.0000
0.0000 3.5019 0.0000
-1.8903 0.0000 14.1551
Y Ho Th
12 2 6
Direct
0.0637 0.2500 0.0977
0.1225 0.2500 0.4994
0.2241 0.2500 0.2966
0.2563 0.7500 0.7049
0.3727 0.7500 0.4801
0.4253 0.2500 0.8993
0.5747 0.7500 0.1007
0.6273 0.2500 0.5199
0.7437 0.2500 0.2951
0.7759 0.7500 0.7034
0.8775 0.7500 0.5006
0.9363 0.7500 0.9023
0.3147 0.7500 0.1053
0.6853 0.2500 0.8947
0.0080 0.2500 0.7024
0.1745 0.2500 0.8980
0.4778 0.2500 0.2881
0.5222 0.7500 0.7119
0.8255 0.7500 0.1020
0.9920 0.7500 0.2976

=====

Record 7
YHo2Th2 | Alexandria | PBE | relaxed; formation enthalpy at 0 K = 0.0869 eV per atom; excess energy over the best structure of this formula in the dataset = 55 meV/atom; calculated total energy = -6.005 eV/atom; density of states at the Fermi level = 1.403 states/eV/atom
1.0
7.0455 0.0000 0.0000
0.0000 5.5888 0.0000
0.0000 0.0000 16.3951
Y Ho Th
4 8 8
Direct
0.1285 0.2500 0.0379
0.3715 0.7500 0.5379
0.6285 0.2500 0.4621
0.8715 0.7500 0.9621
0.1212 0.2500 0.4593
0.1246 0.7500 0.1532
0.3754 0.2500 0.6532
0.3788 0.7500 0.9593
0.6212 0.2500 0.0407
0.6246 0.7500 0.3468
0.8754 0.2500 0.8468
0.8788 0.7500 0.5407
0.1232 0.7500 0.3481
0.1259 0.7500 0.7515
0.3741 0.2500 0.2515
0.3768 0.2500 0.8481
0.6232 0.7500 0.1519
0.6259 0.7500 0.7485
0.8741 0.2500 0.2485
0.8768 0.2500 0.6519

=====

Record 8
Y8HoTh4 | Alexandria | PBE | relaxed; formation enthalpy at 0 K = 0.2256 eV per atom; calculated total energy = -6.387 eV/atom; density of states at the Fermi level = 1.129 states/eV/atom
1.0
3.6964 2.1341 8.9879
-3.6964 2.1341 8.9879
0.0000 -4.2682 8.9879
Y Ho Th
8 1 4
Direct
0.1950 0.7503 0.7503
0.2196 0.2196 0.2196
0.2497 0.2497 0.8050
0.2497 0.8050 0.2497
0.7503 0.1950 0.7503
0.7503 0.7503 0.1950
0.7804 0.7804 0.7804
0.8050 0.2497 0.2497
0.5000 0.5000 0.5000
0.0000 0.0000 0.0000
0.0000 0.5000 0.5000
0.5000 0.0000 0.5000
0.5000 0.5000 0.0000

=====

Record 9
YHoTh | Alexandria | PBE | relaxed; formation enthalpy at 0 K = 0.0363 eV per atom; excess energy over the best structure of this formula in the dataset = 15 meV/atom; calculated total energy = -6.118 eV/atom; density of states at the Fermi level = 1.312 states/eV/atom
1.0
6.1516 0.0000 0.0000
0.0000 3.5627 0.0000
-0.0227 0.0000 8.7175
Y Ho Th
2 2 2
Direct
0.1692 0.0000 0.3362
0.8308 0.0000 0.6638
0.0000 0.5000 0.0000
0.5000 0.0000 0.0000
0.3362 0.5000 0.6678
0.6638 0.5000 0.3322

=====

Record 10
Y2HoTh | Alexandria | PBE | relaxed; formation enthalpy at 0 K = 0.0390 eV per atom; excess energy over the best structure of this formula in the dataset = 12 meV/atom; calculated total energy = -6.192 eV/atom; density of states at the Fermi level = 1.432 states/eV/atom
1.0
1.7864 1.0314 11.5925
-1.7864 1.0314 11.5925
0.0000 -2.0627 11.5925
Y Ho Th
2 1 1
Direct
0.0000 0.0000 0.0000
0.1680 0.1680 0.1680
0.5839 0.5839 0.5839
0.4181 0.4181 0.4181

=====

Record 11
YHoTh | Alexandria | PBE | relaxed; formation enthalpy at 0 K = 0.0212 eV per atom; excess energy over the best structure of this formula in the dataset = 0 meV/atom; calculated total energy = -6.133 eV/atom; density of states at the Fermi level = 1.628 states/eV/atom
1.0
3.5744 0.0000 0.0000
-1.7872 3.0955 0.0000
0.0000 0.0000 8.6578
Y Ho Th
1 1 1
Direct
0.0000 0.0000 0.0000
0.3333 0.6667 0.6546
0.6667 0.3333 0.3296

=====

Record 12
YHo2Th5 | Alexandria | PBE | relaxed; formation enthalpy at 0 K = 0.0531 eV per atom; calculated total energy = -6.537 eV/atom; density of states at the Fermi level = 1.592 states/eV/atom
1.0
7.1399 0.0000 0.0000
0.0000 14.3079 0.0000
0.0000 0.0000 5.0268
Y Ho Th
2 4 10
Direct
0.0000 0.0000 0.0000
0.5000 0.5000 0.0000
0.2494 0.1258 0.5000
0.2506 0.6258 0.5000
0.7494 0.3742 0.5000
0.7506 0.8742 0.5000
0.0000 0.5000 0.0000
0.0015 0.7491 0.0000
0.2444 0.3725 0.5000
0.2556 0.8725 0.5000
0.4985 0.2491 0.0000
0.5000 0.0000 0.0000
0.5015 0.7509 0.0000
0.7444 0.1275 0.5000
0.7556 0.6275 0.5000
0.9985 0.2509 0.0000

=====

Record 13
YHo2Th4 | Alexandria | PBE | relaxed; formation enthalpy at 0 K = 0.9994 eV per atom; excess energy over the best structure of this formula in the dataset = 770 meV/atom; calculated total energy = -5.472 eV/atom; density of states at the Fermi level = 2.487 states/eV/atom
1.0
-2.8265 2.8265 8.2163
2.8265 -2.8265 8.2163
2.8265 2.8265 -8.2163
Y Ho Th
1 2 4
Direct
0.0000 0.0000 0.0000
0.3853 0.3853 0.0000
0.6147 0.6147 0.0000
0.0000 0.5000 0.5000
0.1870 0.1870 0.0000
0.5000 0.0000 0.5000
0.8130 0.8130 0.0000

=====

Record 14
Y6Ho5Th | Alexandria | PBE | relaxed; formation enthalpy at 0 K = 0.0272 eV per atom; excess energy over the best structure of this formula in the dataset = 0 meV/atom; calculated total energy = -5.731 eV/atom; density of states at the Fermi level = 1.397 states/eV/atom
1.0
3.0805 -5.3321 0.0000
3.0805 5.3321 0.0000
-2.0502 0.0000 11.6055
Y Ho Th
6 5 1
Direct
0.0834 0.4138 0.7496
0.2470 0.2470 0.2504
0.4138 0.0834 0.7496
0.5862 0.9166 0.2504
0.7530 0.7530 0.7496
0.9166 0.5862 0.2504
0.1674 0.8326 0.0000
0.3333 0.6667 0.5000
0.5000 0.5000 0.0000
0.6667 0.3333 0.5000
0.8326 0.1674 0.0000
0.0000 0.0000 0.5000

=====

Record 15
Y5HoTh2 | Alexandria | PBE | relaxed; formation enthalpy at 0 K = 0.2365 eV per atom; excess energy over the best structure of this formula in the dataset = 98 meV/atom; calculated total energy = -6.231 eV/atom; density of states at the Fermi level = 1.990 states/eV/atom
1.0
7.4618 -5.9706 0.0000
7.4618 5.9706 0.0000
-2.8723 0.0000 5.8962
Y Ho Th
10 2 4
Direct
0.1487 0.5881 0.1182
0.2317 0.2320 0.2315
0.2320 0.2317 0.7315
0.2354 0.7646 0.7500
0.4119 0.8513 0.3818
0.5881 0.1487 0.6182
0.7646 0.2354 0.2500
0.7680 0.7683 0.2685
0.7683 0.7680 0.7685
0.8513 0.4119 0.8818
0.0445 0.9555 0.2500
0.9555 0.0445 0.7500
0.0000 0.5000 0.5000
0.5000 0.0000 0.0000
0.5000 0.5000 0.0000
0.5000 0.5000 0.5000

=====

Record 16
Y5Ho12Th2 | Alexandria | PBE | relaxed; formation enthalpy at 0 K = 0.1203 eV per atom; excess energy over the best structure of this formula in the dataset = 0 meV/atom; calculated total energy = -5.253 eV/atom; density of states at the Fermi level = 1.659 states/eV/atom
1.0
6.0731 0.0000 0.0000
0.1683 9.5940 0.0000
1.5252 3.8319 10.4741
Y Ho Th
5 12 2
Direct
0.0000 0.0000 0.0000
0.1086 0.9563 0.3417
0.4961 0.5524 0.8317
0.5039 0.4476 0.1683
0.8914 0.0437 0.6583
0.0381 0.6880 0.6541
0.0750 0.3126 0.0439
0.1761 0.3212 0.7247
0.3778 0.9120 0.7850
0.4236 0.8149 0.1006
0.4292 0.1877 0.4850
0.5708 0.8123 0.5150
0.5764 0.1851 0.8994
0.6222 0.0880 0.2150
0.8239 0.6788 0.2753
0.9250 0.6874 0.9561
0.9619 0.3120 0.3459
0.2758 0.5666 0.4195
0.7242 0.4334 0.5805

=====

Record 17
Y2Ho2Th5 | Alexandria | PBE | relaxed; formation enthalpy at 0 K = 0.0530 eV per atom; calculated total energy = -6.523 eV/atom; density of states at the Fermi level = 1.622 states/eV/atom
1.0
5.6752 -2.5032 0.0000
5.6752 2.5032 0.0000
-3.4353 0.0000 10.1655
Y Ho Th
2 2 5
Direct
0.1660 0.1660 0.0558
0.8340 0.8340 0.9442
0.1673 0.1673 0.3908
0.8327 0.8327 0.6092
0.1639 0.1639 0.7212
0.4985 0.4985 0.8294
0.5000 0.5000 0.5000
0.5015 0.5015 0.1706
0.8361 0.8361 0.2788

=====

Record 18
YHoTh | Alexandria | PBE | relaxed; formation enthalpy at 0 K = 0.0246 eV per atom; excess energy over the best structure of this formula in the dataset = 3 meV/atom; calculated total energy = -6.129 eV/atom; density of states at the Fermi level = 1.492 states/eV/atom
1.0
-1.7890 1.7890 7.5003
1.7890 -1.7890 7.5003
1.7890 1.7890 -7.5003
Y Ho Th
1 1 1
Direct
0.0000 0.0000 0.0000
0.6773 0.6773 0.0000
0.3371 0.3371 0.0000

=====

Record 19
YHo4Th3 | Alexandria | PBE | relaxed; formation enthalpy at 0 K = 0.1096 eV per atom; excess energy over the best structure of this formula in the dataset = 75 meV/atom; calculated total energy = -5.770 eV/atom; density of states at the Fermi level = 1.698 states/eV/atom
1.0
3.4803 0.0000 0.0000
0.0000 5.6280 0.0000
0.0000 0.0000 13.2477
Y Ho Th
1 4 3
Direct
0.0000 0.0000 0.0000
0.0000 0.0000 0.2560
0.0000 0.5000 0.6202
0.5000 0.0000 0.7599
0.5000 0.5000 0.1156
0.0000 0.5000 0.8759
0.5000 0.0000 0.4963
0.5000 0.5000 0.3796

=====

Record 20
YHo4Th6 | Alexandria | PBE | relaxed; formation enthalpy at 0 K = 0.4260 eV per atom; calculated total energy = -5.873 eV/atom; density of states at the Fermi level = 1.651 states/eV/atom
1.0
-3.1970 3.1970 9.0011
3.1970 -3.1970 9.0011
3.1970 3.1970 -9.0011
Y Ho Th
1 4 6
Direct
0.0000 0.0000 0.0000
0.1896 0.1896 0.6320
0.4423 0.8104 0.0000
0.5577 0.5577 0.3680
0.8104 0.4423 0.0000
0.0000 0.5000 0.5000
0.0006 0.0006 0.6234
0.3773 0.3773 0.3766
0.5000 0.0000 0.5000
0.6227 0.9994 0.0000
0.9994 0.6227 0.0000